# KTlGaBi

A relaxed KTlGaBi crystal (PBE, Alexandria via LeMat-Bulk).

Calculated values
The total energy comes out at -2.692 eV/atom. The space-group type is No. 216. The calculation puts the energy of formation at -0.099 eV per atom.

Cell and atoms, written as extended XYZ:
```
4
Lattice="0.000 3.976 3.976 3.976 0.000 3.976 3.976 3.976 0.000" Properties=species:S:1:pos:R:3 pbc="T T T"
K 0.000 0.000 0.000
Tl 1.988 1.988 1.988
Ga 5.965 5.965 5.965
Bi 3.976 3.976 3.976
```

***

# La2Ga2Bi

A relaxed La2Ga2Bi crystal (PBE, Alexandria via LeMat-Bulk).

Calculated values
The total energy comes out at -4.174 eV/atom. The space-group type is No. 139. The calculation puts the energy of formation at -0.216 eV per atom.

Cell and atoms, written as extended XYZ:
```
5
Lattice="-2.645 2.645 5.503 2.645 -2.645 5.503 2.645 2.645 -5.503" Properties=species:S:1:pos:R:3 pbc="T T T"
La 2.645 0.000 2.751
La 0.000 2.645 2.751
Ga 0.000 0.000 1.176
Ga 0.000 0.000 9.829
Bi 0.000 0.000 5.503
```

***

# LaGaBi3

A relaxed LaGaBi3 crystal (PBE, Alexandria via LeMat-Bulk).

Calculated values
The total energy comes out at -3.916 eV/atom. The space-group type is No. 221. The calculation puts the energy of formation at 0.003 eV per atom.

Cell and atoms, written as extended XYZ:
```
5
Lattice="5.506 0.000 0.000 0.000 5.506 0.000 0.000 0.000 5.506" Properties=species:S:1:pos:R:3 pbc="T T T"
La 0.000 0.000 0.000
Ga 2.753 2.753 2.753
Bi 0.000 2.753 2.753
Bi 2.753 0.000 2.753
Bi 2.753 2.753 0.000
```

***

# LaGa2Bi

A relaxed LaGa2Bi crystal (PBE, Alexandria via LeMat-Bulk).

Calculated values
The total energy comes out at -4.235 eV/atom. The space-group type is No. 123. The calculation puts the energy of formation at -0.519 eV per atom.

Cell and atoms, written as extended XYZ:
```
4
Lattice="4.748 0.000 0.000 0.000 4.748 0.000 0.000 0.000 4.520" Properties=species:S:1:pos:R:3 pbc="T T T"
La 0.000 0.000 0.000
Ga 0.000 2.374 2.260
Ga 2.374 0.000 2.260
Bi 2.374 2.374 0.000
```

***

# LaGaBi

A relaxed LaGaBi crystal (PBE, Alexandria via LeMat-Bulk).

Calculated values
The total energy comes out at -4.054 eV/atom. The space-group type is No. 107. The calculation puts the energy of formation at -0.109 eV per atom.

Cell and atoms, written as extended XYZ:
```
3
Lattice="-1.691 1.691 8.212 1.691 -1.691 8.212 1.691 1.691 -8.212" Properties=species:S:1:pos:R:3 pbc="T T T"
La 0.000 0.000 0.000
Ga 0.000 0.000 6.154
Bi 0.000 0.000 3.354
```

***

# La5GaBi2

A relaxed La5GaBi2 crystal (PBE, Alexandria via LeMat-Bulk).

Calculated values
The total energy comes out at -5.135 eV/atom. The space-group type is No. 55. The calculation puts the energy of formation at -0.707 eV per atom.

Cell and atoms, written as extended XYZ:
```
16
Lattice="8.548 0.000 0.000 0.000 13.018 0.000 0.000 0.000 4.844" Properties=species:S:1:pos:R:3 pbc="T T T"
La 0.000 0.000 0.000
La 1.266 3.757 0.000
La 1.699 7.317 2.422
La 2.574 0.808 2.422
La 3.008 10.266 0.000
La 4.274 6.509 0.000
La 5.540 2.752 0.000
La 5.973 12.210 2.422
La 6.848 5.701 2.422
La 7.282 9.261 0.000
Ga 0.000 6.509 0.000
Ga 4.274 0.000 0.000
Bi 0.678 10.744 2.422
Bi 3.596 4.235 2.422
Bi 4.952 8.783 2.422
Bi 7.870 2.274 2.422
```